Entry 1:
A geometry-optimized LaSb4Se structure, computed with PBE.

The structure belongs to space group F-43m (No. 216); the cell edges are 8.792, 8.792 and 8.792 Å and the angles 90.00°, 90.00° and 90.00°. The inequivalent atoms are La at (0.000, 0.000, 0.000), Sb at (0.123, 0.123, 0.623) and Se at (0.250, 0.250, 0.250).

Entry 2:
A geometry-optimized LaSb2Se structure, computed with PBE.

The structure belongs to space group P2/m (No. 10); the cell edges are 4.562, 4.369 and 6.111 Å and the angles 90.00°, 104.21° and 90.00°. The inequivalent atoms are La at (0.000, 0.000, 0.000), Sb at (0.421, 0.500, 0.759) and Se at (0.000, 0.000, 0.500).

Entry 3:
A geometry-optimized La3SbSe structure, computed with PBE.

The value obtained for the energy above the most stable polymorph in this dataset is 0.000 eV per atom.

The structure belongs to space group Pm-3m (No. 221); the cell edges are 5.605, 5.605 and 5.605 Å and the angles 90.00°, 90.00° and 90.00°. The inequivalent atoms are La at (0.000, 0.000, 0.500), Sb at (0.500, 0.500, 0.500) and Se at (0.000, 0.000, 0.000).

Entry 4:
A geometry-optimized La2SbSe4 structure, computed with PBE.

The structure belongs to space group C2/m (No. 12); the cell edges are 14.452, 4.618 and 7.669 Å and the angles 90.00°, 119.85° and 90.00°. The inequivalent atoms are La at (0.222, 0.000, 0.214), Sb at (0.000, 0.500, 0.500), Se at (0.117, 0.500, 0.932) and Se at (0.136, 0.000, 0.502).

So what do the calculations give for ΔE_f (raw)? Going down the list: -6.0 -15.3 -19.5 -30.7 kcal/mol of atoms.
So what do the calculations give for V? Going down the list: 170 118 176 222 Å³/f.u..